Here is a relaxed NpNiPd2O8 crystal from Alexandria. Energies are from PBE+U.

As for the space group: I-4m2. The value obtained for the total energy is -6.31 eV per atom.

```
NpNiPd2O8
1.0
-3.2964 3.2964 3.5333
3.2964 -3.2964 3.5333
3.2964 3.2964 -3.5333
Np Ni Pd O
1 1 2 8
Direct
0.0000 0.0000 0.0000 Np
0.2500 0.7500 0.5000 Ni
0.5000 0.5000 0.0000 Pd
0.7500 0.2500 0.5000 Pd
0.2825 0.0992 0.8167 O
0.2825 0.4658 0.1833 O
0.3419 0.0357 0.3062 O
0.5342 0.7175 0.8167 O
0.7295 0.0357 0.6938 O
0.9008 0.7175 0.1833 O
0.9643 0.2705 0.3062 O
0.9643 0.6581 0.6938 O
```